Computed, not measured: an optimized crystal structure of PrTlHgTe3 at the PBE level of DFT.

```
PrTlHgTe3
1.0
4.689 5.975 2.710
-7.458 -2.574 -1.667
-1.013 -4.209 11.031
Hg Pr Te Tl
2 2 6 2
direct
0.036 0.964 0.250 Hg
0.964 0.036 0.750 Hg
0.500 0.500 0.000 Pr
0.500 0.500 0.500 Pr
0.143 0.857 0.055 Te
0.415 0.585 0.250 Te
0.143 0.857 0.445 Te
0.857 0.143 0.555 Te
0.585 0.415 0.750 Te
0.857 0.143 0.945 Te
0.740 0.260 0.250 Tl
0.260 0.740 0.750 Tl
```

total energy = -42.65 eV/cell